CsUVF6: relaxed, PBE+U.

Results
D(E_F)	0.425	states/eV/atom
DFT total energy	-115.5	eV for the cell shown
V	19.38	Å³/atom

Lattice parameters (Å, degrees): 7.5140 8.1248 7.9532 120.72 118.19 90.00
Element x y z (fractional)
F 0.8292 0.0992 0.2615
F 0.1243 0.8743 0.2486
F 0.1708 0.3376 0.7385
F 0.4324 0.6624 0.2615
Cs 0.8549 0.6049 0.7097
F 0.4570 0.7070 0.9140
F 0.8292 0.6624 0.2615
F 0.5430 0.2930 0.0860
V 0.5000 0.5000 0.0000
F 0.8757 0.1257 0.7514
V 0.5000 0.0000 0.0000
U 0.5000 0.0000 0.5000
F 0.5676 0.3376 0.7385
U 0.0000 0.0000 0.5000
F 0.1708 0.9008 0.7385
F 0.4324 0.0992 0.2615
Cs 0.1451 0.3951 0.2903
F 0.5676 0.9008 0.7385